Computed, not measured: crystalline Hf2VN at its relaxed geometry at the PBE level of DFT.

Cell lengths 8.0948, 8.0948, 8.0948 Å; angles 21.99, 21.99, 21.99 degrees
Closest atoms and distances in Å follow each position.
Fractional positions:
1 Hf 0.1109 0.1109 0.1109  3 N 2.22
2 Hf 0.8891 0.8891 0.8891  3 N 2.22
3 V 0.0000 0.0000 0.0000  2 Hf 2.63
4 N 0.5000 0.5000 0.5000  6 Hf 2.22

As for the energy relative to the elements, uncorrected: -394 meV per atom. The density of states at the Fermi level is 0.52 states/eV/atom. Its space group is R-3m (166).

Computed, not measured: crystalline Cs2NpAl2O6 at its relaxed geometry at the PBE level of DFT.

Cell lengths 7.1576, 7.1576, 7.1576 Å; angles 49.41, 49.41, 49.41 degrees
Closest atoms and distances in Å follow each position.
Fractional positions:
1 Cs 0.2180 0.2180 0.2180  9 O 3.15-3.39, 3 Al 3.48
2 Cs 0.7820 0.7820 0.7820  9 O 3.15-3.39, 3 Al 3.48
3 Np 0.0000 0.0000 0.0000  6 O 2.11
4 Al 0.4270 0.4270 0.4270  3 O 1.81
5 Al 0.5730 0.5730 0.5730  3 O 1.81
6 O 0.2314 0.2314 0.7274  1 Al 1.81
7 O 0.2314 0.7274 0.2314  1 Al 1.81
8 O 0.2726 0.7686 0.7686  1 Al 1.81
9 O 0.7274 0.2314 0.2314  1 Al 1.81
10 O 0.7686 0.2726 0.7686  1 Al 1.81
11 O 0.7686 0.7686 0.2726  1 Al 1.81

As for the energy relative to the elements, uncorrected: -2408 meV per atom. Its space group is R-3m (166).

Computed, not measured: crystalline MgAlTl2 at its relaxed geometry at the PBE level of DFT.

Cell lengths 5.4580, 5.4580, 5.4580 Å; angles 128.04, 128.04, 76.56 degrees
Closest atoms and distances in Å follow each position.
Fractional positions:
1 Mg 0.0000 0.0000 0.0000  8 Tl 3.21, 4 Al 3.38
2 Al 0.5000 0.5000 0.0000  8 Tl 3.21, 4 Mg 3.38
3 Tl 0.2500 0.7500 0.5000  4 Mg 3.21, 4 Al 3.21, 4 Tl 3.38
4 Tl 0.7500 0.2500 0.5000  4 Mg 3.21, 4 Al 3.21, 4 Tl 3.38

As for the energy above the most stable polymorph in this dataset: 0.051 eV/atom. The density of states at the Fermi level is 0.43 states/eV/atom. Its space group is I4/mmm (139). The formation energy is 0.143 eV per atom.

Computed, not measured: crystalline CuHg2F8 at its relaxed geometry at the PBE level of DFT.

Cell lengths 5.9254, 5.9254, 4.6701 Å; angles 104.59, 104.59, 75.52 degrees
Closest atoms and distances in Å follow each position.
Fractional positions:
1 Cu 0.0000 0.0000 0.0000  6 F 1.84-1.92
2 Hg 0.3364 0.3364 0.6590  6 F 2.22-2.43
3 Hg 0.6636 0.6636 0.3410  6 F 2.22-2.43
4 F 0.0477 0.6883 0.7500  1 Cu 1.92
5 F 0.1191 0.1191 0.7542  1 Cu 1.84
6 F 0.3117 0.9523 0.2500  1 Cu 1.92
7 F 0.4122 0.4122 0.2080  3 Hg 2.24-2.43
8 F 0.5878 0.5878 0.7920  3 Hg 2.24-2.43
9 F 0.6883 0.0477 0.7500  1 Cu 1.92
10 F 0.8809 0.8809 0.2458  1 Cu 1.84
11 F 0.9523 0.3117 0.2500  1 Cu 1.92

As for the energy above the most stable polymorph in this dataset: 0.000 eV/atom. As for the energy relative to the elements, uncorrected: -1273 meV per atom. The density of states at the Fermi level is 0.26 states/eV/atom. Its space group is C2/m (12).

no.,calculated density (g/cm3),size of the total moment (μB per atom)
1,10.751,0.000
2,5.577,0.090
3,7.797,0.000
4,6.805,0.089